Record 1
Here is an optimized crystal structure of Rb4CaCd3Br12 from the Alexandria database. Energies are from PBE.

Final energy   -2.803 eV/atom
Calculated volume   707 Å³/f.u.
DOS(E_F)   0.00 states/eV/cell
Energy relative to the elements, uncorrected   -27.365 eV per formula unit

Cell: 11.225 11.225 11.225 Å, 90.00 90.00 90.00°
Space group Im-3m (No. 229)
Inequivalent atoms, fractional coordinates:
1 Rb 0.250 0.250 0.250 x8
2 Ca 0.000 0.000 0.000 x2
3 Cd 0.000 0.000 0.500 x6
4 Br 0.000 0.000 0.254 x12
5 Br 0.000 0.250 0.500 x12



Record 2
Here is an optimized crystal structure of Rb3CaCd2Br9 from the Alexandria database. Energies are from PBE.

Final energy   -2.882 eV/atom
Calculated volume   535 Å³/f.u.
DOS(E_F)   0.00 states/eV/cell
Energy relative to the elements, uncorrected   -21.440 eV per formula unit

Cell: 7.9513 7.9513 9.7633 Å, 90.00 90.00 120.00°
Space group P-3m1 (No. 164)
Inequivalent atoms, fractional coordinates:
1 Rb 0.0000 0.0000 0.0000 x1
2 Rb 0.3333 0.6667 0.6775 x2
3 Ca 0.0000 0.0000 0.5000 x1
4 Cd 0.3333 0.6667 0.1651 x2
5 Br 0.0000 0.5000 0.0000 x3
6 Br 0.1687 0.3374 0.3289 x6



Record 3
Here is an optimized crystal structure of RbCaCdBr5 from the Alexandria database. Energies are from PBE.

Final energy   -3.059 eV/atom
Calculated volume   310 Å³/f.u.
DOS(E_F)   0.00 states/eV/cell
Energy relative to the elements, uncorrected   -12.227 eV per formula unit

Cell: 9.772 13.025 10.614 Å, 90.00 113.45 90.00°
Space group C2/c (No. 15)
Inequivalent atoms, fractional coordinates:
1 Rb 0.000 0.160 0.250 x4
2 Ca 0.000 0.500 0.000 x4
3 Cd 0.000 0.185 0.750 x4
4 Br 0.000 0.423 0.250 x4
5 Br 0.115 0.293 0.606 x8
6 Br 0.187 0.061 0.940 x8